This record from Alexandria describes a relaxed Cr3TcAs crystal. The functional is PBE.

Computed properties:
- energy of formation from the pure elements (eV/atom) = 1.2893
- symmetry = No. 221
- uncorrected energy (eV/atom) = -7.488

Lattice parameters (Å, degrees): 4.282 4.282 4.282 90.00 90.00 90.00
Sites, in units of the cell vectors:
Cr 0.000 0.000 0.500
Cr 0.000 0.500 0.000
Cr 0.500 0.000 0.000
Tc 0.500 0.500 0.500
As 0.000 0.000 0.000